{"formula": "Ho5Tm4Th", "functional": "GGA-PBE", "state": "optimized geometry", "cell": [[6.326, 0.000, 0.000], [3.163, 7.121, 0.000], [3.163, 0.000, 7.121]], "species": ["Th", "Ho", "Ho", "Ho", "Ho", "Ho", "Tm", "Tm", "Tm", "Tm"], "fractional_positions": [[0.225, 0.000, 0.000], [0.714, 0.093, 0.378], [0.185, 0.907, 0.622], [0.807, 0.378, 0.907], [0.691, 0.000, 0.000], [0.092, 0.622, 0.093], [0.796, 0.705, 0.601], [0.397, 0.399, 0.705], [0.102, 0.295, 0.399], [0.501, 0.601, 0.295]], "delta_e_f_mev_per_atom": 337, "spacegroup": "I4, No. 79", "magmom_total_mub_per_cell": 0.00}